Computed, not measured: a relaxed structure of Zn2CdW at the PBE-GGA level of DFT.

Fermi-level density of states: 1.31 states/eV per cell
Total DFT energy (no corrections): -3.80 eV per atom
SG: No. 35

Unit cell a=2.766 b=2.766 c=8.840 alpha=90.00 beta=90.00 gamma=101.60
Atoms (fractional coordinates):
Cd 0.000 0.000 0.499
W 0.500 0.500 0.768
Zn 0.000 0.000 0.002
Zn 0.500 0.500 0.231